{
  "formula": "LiGe3N",
  "functional": "PBE-GGA",
  "state": "relaxed",
  "formation_energy_uncorrected_ev_per_atom": 1.337,
  "polymorph_energy_ev_per_atom": 0.789,
  "sg": "Pm-3m",
  "total_energy_ev_per_atom": -3.48,
  "lattice": [[4.4030, 0.0000, 0.0000], [0.0000, 4.4030, 0.0000], [0.0000, 0.0000, 4.4030]],
  "species": ["Ge", "Ge", "Ge", "N", "Li"],
  "frac_coords": [[0.0000, 0.0000, 0.5000], [0.5000, 0.0000, 0.0000], [0.0000, 0.5000, 0.0000], [0.5000, 0.5000, 0.5000], [0.0000, 0.0000, 0.0000]]
}